No. 1
Compound: BaTaCl2
Source: the Alexandria database
Functional: meta-GGA SCAN
Structure: PBEsol geometry

extended XYZ file:
```
4
Lattice="-2.094 2.094 5.994 2.094 -2.094 5.994 2.094 2.094 -5.994" Properties=species:S:1:pos:R:3 pbc="T T T"
Ba 0.000 0.000 0.000
Ta 2.094 0.000 2.997
Cl 0.000 0.000 5.994
Cl 0.000 2.094 2.997
```

Summary:
Energy above the lowest structure with this stoichiometry in eV per atom: 0.358
SG: I-4m2, No. 119
Uncorrected formation energy in eV/atom: -0.2035
Fermi-level density of states in states/eV/f.u.: 1.8



No. 2
Compound: BaTaCl2
Source: the Alexandria database
Functional: meta-GGA SCAN
Structure: PBEsol geometry

extended XYZ file:
```
4
Lattice="0.000 3.710 3.710 3.710 0.000 3.710 3.710 3.710 0.000" Properties=species:S:1:pos:R:3 pbc="T T T"
Ba 0.000 0.000 0.000
Ta 3.710 3.710 3.710
Cl 1.855 1.855 1.855
Cl 5.564 5.564 5.564
```

Summary:
Energy above the lowest structure with this stoichiometry in eV per atom: 0.368
SG: Fm-3m, No. 225
Uncorrected formation energy in eV/atom: -0.1928
Fermi-level density of states in states/eV/f.u.: 3.8



No. 3
Compound: BaTa2Cl
Source: the Alexandria database
Functional: meta-GGA SCAN
Structure: PBEsol geometry

extended XYZ file:
```
4
Lattice="3.226 0.000 0.000 0.000 1.817 8.219 0.000 -1.817 8.219" Properties=species:S:1:pos:R:3 pbc="T T T"
Ba 0.000 0.000 0.000
Ta 0.000 0.000 3.864
Ta 1.613 0.000 10.788
Cl 1.613 0.000 5.984
```

Summary:
Energy above the lowest structure with this stoichiometry in eV per atom: 0.000
SG: Amm2, No. 38
Uncorrected formation energy in eV/atom: -0.0462
Fermi-level density of states in states/eV/f.u.: 4.4



No. 4
Compound: BaTa2Cl
Source: the Alexandria database
Functional: meta-GGA SCAN
Structure: PBEsol geometry

extended XYZ file:
```
4
Lattice="-1.970 1.970 7.219 1.970 -1.970 7.219 1.970 1.970 -7.219" Properties=species:S:1:pos:R:3 pbc="T T T"
Ba 0.000 0.000 0.000
Ta 1.970 0.000 3.610
Ta 0.000 1.970 3.610
Cl 0.000 0.000 7.219
```

Summary:
Energy above the lowest structure with this stoichiometry in eV per atom: 0.549
SG: I4/mmm, No. 139
Uncorrected formation energy in eV/atom: 0.5028
Fermi-level density of states in states/eV/f.u.: 4.4



No. 5
Compound: Ba2TaCl
Source: the Alexandria database
Functional: meta-GGA SCAN
Structure: PBEsol geometry

extended XYZ file:
```
4
Lattice="0.000 4.037 4.037 4.037 0.000 4.037 4.037 4.037 0.000" Properties=species:S:1:pos:R:3 pbc="T T T"
Ba 2.019 2.019 2.019
Ba 6.056 6.056 6.056
Ta 0.000 0.000 0.000
Cl 4.037 4.037 4.037
```

Summary:
SG: Fm-3m, No. 225
Uncorrected formation energy in eV/atom: 0.2619
Fermi-level density of states in states/eV/f.u.: 2.5



No. 6
Compound: BaTa2Cl
Source: the Alexandria database
Functional: meta-GGA SCAN
Structure: PBEsol geometry

extended XYZ file:
```
4
Lattice="3.499 0.000 0.000 0.000 3.499 0.000 0.000 0.000 8.438" Properties=species:S:1:pos:R:3 pbc="T T T"
Ba 0.000 0.000 0.000
Ta 0.000 0.000 4.745
Ta 1.749 1.749 5.777
Cl 1.749 1.749 1.900
```

Summary:
Energy above the lowest structure with this stoichiometry in eV per atom: 0.080
SG: P4mm, No. 99
Uncorrected formation energy in eV/atom: 0.0335
Fermi-level density of states in states/eV/f.u.: 3.3



No. 7
Compound: BaTa2Cl
Source: the Alexandria database
Functional: meta-GGA SCAN
Structure: PBEsol geometry

extended XYZ file:
```
4
Lattice="3.939 0.000 0.000 0.000 3.939 0.000 0.000 0.000 7.251" Properties=species:S:1:pos:R:3 pbc="T T T"
Ba 0.000 0.000 0.000
Ta 0.000 1.969 3.626
Ta 1.969 0.000 3.626
Cl 1.969 1.969 0.000
```

Summary:
Energy above the lowest structure with this stoichiometry in eV per atom: 0.561
SG: P4/mmm, No. 123
Uncorrected formation energy in eV/atom: 0.5151
Fermi-level density of states in states/eV/f.u.: 5.1



No. 8
Compound: BaTaCl
Source: the Alexandria database
Functional: meta-GGA SCAN
Structure: PBEsol geometry

extended XYZ file:
```
3
Lattice="0.000 3.556 3.556 3.556 0.000 3.556 3.556 3.556 0.000" Properties=species:S:1:pos:R:3 pbc="T T T"
Ba 0.000 0.000 0.000
Ta 3.556 3.556 3.556
Cl 5.335 5.335 5.335
```

Summary:
Energy above the lowest structure with this stoichiometry in eV per atom: 0.000
SG: F-43m, No. 216
Uncorrected formation energy in eV/atom: 0.8146
Fermi-level density of states in states/eV/f.u.: 1.1



No. 9
Compound: BaTaCl2
Source: the Alexandria database
Functional: meta-GGA SCAN
Structure: PBEsol geometry

extended XYZ file:
```
8
Lattice="-2.718 2.718 7.470 2.718 -2.718 7.470 2.718 2.718 -7.470" Properties=species:S:1:pos:R:3 pbc="T T T"
Ba 0.000 0.000 0.000
Ba 0.000 2.718 3.735
Ta 2.718 0.000 3.735
Ta 0.000 0.000 7.470
Cl 1.359 -0.634 5.603
Cl 2.084 1.359 1.868
Cl 1.359 3.352 -1.868
Cl 0.634 1.359 9.338
```

Summary:
Energy above the lowest structure with this stoichiometry in eV per atom: 0.204
SG: I-42d, No. 122
Uncorrected formation energy in eV/atom: -0.3576
Fermi-level density of states in states/eV/f.u.: 4.1



No. 10
Compound: BaTaCl4
Source: the Alexandria database
Functional: meta-GGA SCAN
Structure: PBEsol geometry

extended XYZ file:
```
6
Lattice="0.000 4.189 4.189 4.189 0.000 4.189 4.189 4.189 0.000" Properties=species:S:1:pos:R:3 pbc="T T T"
Ba 0.000 0.000 0.000
Ta 6.283 6.283 6.283
Cl 3.146 3.146 3.146
Cl 5.232 5.232 3.146
Cl 5.232 3.146 5.232
Cl 3.146 5.232 5.232
```

Summary:
SG: F-43m, No. 216
Uncorrected formation energy in eV/atom: 0.0316
Fermi-level density of states in states/eV/f.u.: 4.1



No. 11
Compound: BaTa2Cl
Source: the Alexandria database
Functional: meta-GGA SCAN
Structure: PBEsol geometry

extended XYZ file:
```
4
Lattice="3.214 0.000 0.000 0.000 4.624 0.000 0.000 0.000 7.066" Properties=species:S:1:pos:R:3 pbc="T T T"
Ba 0.000 0.000 0.000
Ta 0.000 2.312 3.533
Ta 1.607 0.000 3.533
Cl 1.607 2.312 0.000
```

Summary:
Energy above the lowest structure with this stoichiometry in eV per atom: 0.404
SG: Pmmm, No. 47
Uncorrected formation energy in eV/atom: 0.3579
Fermi-level density of states in states/eV/f.u.: 3.5



No. 12
Compound: BaTaCl2
Source: the Alexandria database
Functional: meta-GGA SCAN
Structure: PBEsol geometry

extended XYZ file:
```
4
Lattice="-1.634 3.035 4.846 1.634 -3.035 4.846 1.634 3.035 -4.846" Properties=species:S:1:pos:R:3 pbc="T T T"
Ba 0.000 0.000 0.000
Ta 0.000 0.000 4.846
Cl 1.634 0.000 2.962
Cl 0.000 3.035 1.884
```

Summary:
Energy above the lowest structure with this stoichiometry in eV per atom: 0.000
SG: Immm, No. 71
Uncorrected formation energy in eV/atom: -0.5612
Fermi-level density of states in states/eV/f.u.: 2.7



no.,calculated total energy (eV/cell)
1,-122.90
2,-122.86
3,-180.88
4,-178.68
5,-152.61
6,-180.56
7,-178.63
8,-111.67
9,-247.04
10,-137.86
11,-179.26
12,-124.33